CaAlOs2 | the Alexandria database | GGA-PBE | optimized geometry; ρ = 9.26 Mg/m³; E_tot = -7.054 eV per atom; symmetry = Pmm2, No. 25
1.0
5.265 0.000 0.000
0.000 4.315 0.000
0.000 0.000 7.067
Os Al Ca
4 2 2
Direct
0.230 0.000 0.395
0.500 0.500 0.932
0.500 0.000 0.088
0.770 0.000 0.395
0.500 0.500 0.372
0.500 0.000 0.704
0.000 0.500 0.131
0.000 0.500 0.665